[1]
LaEuErMg | PBE | optimized geometry

Computed properties:
The calculation puts the total energy at -5.27 eV/atom. As for the crystal system: cubic. As for the formation energy: 0.066 eV/atom.

Cell and atoms, written as CIF:
```
data_LaEuErMg
_chemical_formula_sum 'La1 Eu1 Er1 Mg1'
_space_group_name_H-M_alt 'P 1'
_space_group_IT_number 1
_cell_length_a 5.6799
_cell_length_b 5.6799
_cell_length_c 5.6799
_cell_angle_alpha 60.00
_cell_angle_beta 60.00
_cell_angle_gamma 60.00
loop_
_space_group_symop_operation_xyz
'x,y,z'
loop_
_atom_site_label
_atom_site_fract_x
_atom_site_fract_y
_atom_site_fract_z
Eu1 0.5000 0.5000 0.5000
Mg1 0.0000 0.0000 0.0000
La1 0.7500 0.7500 0.7500
Er1 0.2500 0.2500 0.2500
```

[2]
BeRu2Pt | PBE | optimized geometry

Computed properties:
The calculation puts the total energy at -7.11 eV/atom. As for the crystal system: tetragonal. As for the formation energy: -0.035 eV/atom.

Cell and atoms, written as CIF:
```
data_BeRu2Pt
_chemical_formula_sum 'Be1 Ru2 Pt1'
_space_group_name_H-M_alt 'P 1'
_space_group_IT_number 1
_cell_length_a 4.6073
_cell_length_b 4.6073
_cell_length_c 4.6073
_cell_angle_alpha 131.74
_cell_angle_beta 131.74
_cell_angle_gamma 70.63
loop_
_space_group_symop_operation_xyz
'x,y,z'
loop_
_atom_site_label
_atom_site_fract_x
_atom_site_fract_y
_atom_site_fract_z
Ru1 0.0000 0.0000 0.0000
Ru2 0.2500 0.7500 0.5000
Pt1 0.7500 0.2500 0.5000
Be1 0.5000 0.5000 0.0000
```

[3]
Ag12Hg3O5 | PBE | optimized geometry

Computed properties:
The calculation puts the total energy at -2.92 eV/atom. As for the crystal system: cubic.

Cell and atoms, written as CIF:
```
data_Ag12Hg3O5
_chemical_formula_sum 'Ag48 Hg12 O20'
_space_group_name_H-M_alt 'P 1'
_space_group_IT_number 1
_cell_length_a 12.6434
_cell_length_b 12.6434
_cell_length_c 12.6434
_cell_angle_alpha 109.47
_cell_angle_beta 109.47
_cell_angle_gamma 109.47
loop_
_space_group_symop_operation_xyz
'x,y,z'
loop_
_atom_site_label
_atom_site_fract_x
_atom_site_fract_y
_atom_site_fract_z
Hg1 0.7500 0.3750 0.1250
Hg2 0.8750 0.7500 0.1250
Hg3 0.3750 0.7500 0.6250
Hg4 0.2500 0.1250 0.3750
Hg5 0.8750 0.1250 0.2500
Hg6 0.3750 0.6250 0.2500
Hg7 0.6250 0.3750 0.7500
Hg8 0.1250 0.8750 0.7500
Hg9 0.7500 0.8750 0.6250
Hg10 0.6250 0.2500 0.3750
Hg11 0.1250 0.2500 0.8750
Hg12 0.2500 0.6250 0.8750
O1 0.1250 0.3750 0.2500
O2 0.0000 0.5000 0.0000
O3 0.0000 0.0000 0.0000
O4 0.3750 0.2500 0.1250
O5 0.5000 0.0000 0.5000
O6 0.5000 0.5000 0.0000
O7 0.1250 0.7500 0.3750
O8 0.7500 0.1250 0.8750
O9 0.7500 0.6250 0.3750
O10 0.3750 0.1250 0.7500
O11 0.6250 0.8750 0.2500
O12 0.5000 0.5000 0.5000
O13 0.5000 0.0000 0.0000
O14 0.0000 0.0000 0.5000
O15 0.2500 0.3750 0.6250
O16 0.2500 0.8750 0.1250
O17 0.0000 0.5000 0.5000
O18 0.8750 0.2500 0.6250
O19 0.6250 0.7500 0.8750
O20 0.8750 0.6250 0.7500
Ag1 0.6992 0.1009 0.0181
Ag2 0.3189 0.5181 0.4172
Ag3 0.9819 0.3991 0.3008
Ag4 0.5181 0.1992 0.1009
Ag5 0.5983 0.6992 0.6811
Ag6 0.9819 0.5828 0.1811
Ag7 0.3189 0.8008 0.4017
Ag8 0.0828 0.9017 0.1009
Ag9 0.5828 0.9819 0.6811
Ag10 0.6992 0.5983 0.1811
Ag11 0.8008 0.4819 0.3991
Ag12 0.8189 0.9172 0.0181
Ag13 0.1009 0.6992 0.5181
Ag14 0.3991 0.4172 0.0983
Ag15 0.0983 0.9172 0.3991
Ag16 0.4017 0.1009 0.5828
Ag17 0.0983 0.1811 0.1992
Ag18 0.4819 0.6811 0.0828
Ag19 0.8189 0.9017 0.3008
Ag20 0.1009 0.4017 0.0828
Ag21 0.3991 0.9819 0.8008
Ag22 0.5828 0.6009 0.4017
Ag23 0.9172 0.8189 0.5181
Ag24 0.8008 0.3189 0.9017
Ag25 0.4172 0.3991 0.5983
Ag26 0.0828 0.1811 0.4819
Ag27 0.1992 0.6811 0.0983
Ag28 0.1811 0.0983 0.6992
Ag29 0.6009 0.0181 0.1992
Ag30 0.8991 0.5983 0.9172
Ag31 0.5181 0.3189 0.9172
Ag32 0.5983 0.8991 0.4172
Ag33 0.9017 0.8189 0.8008
Ag34 0.9017 0.0828 0.6009
Ag35 0.8991 0.3008 0.4819
Ag36 0.1811 0.0828 0.9819
Ag37 0.6009 0.5828 0.9017
Ag38 0.4172 0.0181 0.3189
Ag39 0.3008 0.4017 0.8189
Ag40 0.1992 0.5181 0.6009
Ag41 0.9172 0.0983 0.8991
Ag42 0.6811 0.1992 0.5983
Ag43 0.4819 0.8008 0.8991
Ag44 0.0181 0.4172 0.8189
Ag45 0.4017 0.3008 0.3189
Ag46 0.0181 0.6009 0.6992
Ag47 0.6811 0.4819 0.5828
Ag48 0.3008 0.8991 0.9819
```

[4]
Li3Nd3TiS8 | PBE | optimized geometry

Computed properties:
The calculation puts the total energy at -5.72 eV/atom. As for the crystal system: trigonal.

Cell and atoms, written as CIF:
```
data_Li3Nd3TiS8
_chemical_formula_sum 'Li3 Nd3 Ti1 S8'
_space_group_name_H-M_alt 'P 1'
_space_group_IT_number 1
_cell_length_a 7.9474
_cell_length_b 7.9470
_cell_length_c 7.6629
_cell_angle_alpha 121.26
_cell_angle_beta 90.00
_cell_angle_gamma 120.00
loop_
_space_group_symop_operation_xyz
'x,y,z'
loop_
_atom_site_label
_atom_site_fract_x
_atom_site_fract_y
_atom_site_fract_z
Li1 0.0000 0.0000 0.0000
Li2 0.0000 0.5000 0.0000
Li3 0.5000 0.5000 0.0000
Nd1 0.5000 0.0000 0.5000
Nd2 0.5000 0.5000 0.5000
Nd3 0.0000 0.5000 0.5000
Ti1 0.0000 0.0000 0.5000
S1 0.2462 0.4925 0.2389
S2 0.7538 0.5075 0.7611
S3 0.7735 0.5470 0.2631
S4 0.2265 0.4530 0.7369
S5 0.7735 0.9894 0.2631
S6 0.2265 0.0106 0.7369
S7 0.2159 0.9894 0.2631
S8 0.7841 0.0106 0.7369
```

Number 1: V 32.39 Å³ per atom. Number 2: V 13.33 Å³ per atom. Number 3: V 19.45 Å³ per atom. Number 4: V 22.37 Å³ per atom.